This record from Alexandria via LeMat-Bulk describes Ni2Pb after structural relaxation. The functional is GGA-PBE.

N(E_F) = 2.83 states/eV/f.u.
Volume = 16.54 Å³ per atom
Energy of formation = 222 meV/atom
Space group = I4/mcm
VASP energy = -4.8687 eV per atom
Total moment = 0.88 Bohr magnetons per cell

abc: 5.460 5.460 5.460
angles: 127.56 127.56 77.35
Fractional positions:
Ni 0.816 0.316 0.131
Ni 0.184 0.684 0.869
Ni 0.316 0.184 0.500
Ni 0.684 0.816 0.500
Pb 0.750 0.750 0.000
Pb 0.250 0.250 0.000



This record from Alexandria via LeMat-Bulk describes NiPb3 after structural relaxation. The functional is GGA-PBE.

N(E_F) = 2.40 states/eV/f.u.
Volume = 25.97 Å³ per atom
Energy of formation = 152 meV/atom
Space group = R-3m
VASP energy = -4.0746 eV per atom
Total moment = 0.00 Bohr magnetons per cell

abc: 10.021 10.021 10.021
angles: 20.09 20.09 20.09
Fractional positions:
Ni 0.000 0.000 0.000
Pb 0.729 0.729 0.729
Pb 0.500 0.500 0.500
Pb 0.271 0.271 0.271